1.
This record from the Alexandria database describes an optimized crystal structure of Ti2BF8. The functional is GGA-PBE.

Results
Energy relative to the elements, uncorrected   -2.697 eV per atom
Magnetic moment   1.47 Bohr magnetons per cell
Crystal system   monoclinic
SG   C2/m, No. 12
Density   3.0 g/cm³
Density of states at the Fermi level   4.06 states/eV/cell

abc: 4.0698 7.3314 7.3314
angles: 43.79 109.68 109.68
Closest atoms and distances in Å follow each position.
Positions (direct):
F1 0.0227 0.2613 0.2613  2 Ti 2.02-2.05
F2 0.6543 0.6356 0.1106  2 Ti 2.08, 1 B 2.21
F3 0.3457 0.3644 0.8894  2 Ti 2.08, 1 B 2.21
F4 0.7942 0.0505 0.0505  1 B 1.26
F5 0.9773 0.7387 0.7387  2 Ti 2.02-2.05
F6 0.3457 0.8894 0.3644  2 Ti 2.08, 1 B 2.21
F7 0.2058 0.9495 0.9495  1 B 1.26
F8 0.6543 0.1106 0.6356  2 Ti 2.08, 1 B 2.21
Ti1 0.4814 0.7451 0.7451  6 F 2.02-2.08
Ti2 0.5186 0.2549 0.2549  6 F 2.02-2.08
B1 0.0000 0.0000 0.0000  2 F 1.26

=====

2.
This record from the Alexandria database describes an optimized crystal structure of TiZnBF2. The functional is GGA-PBE.

Results
Energy relative to the elements, uncorrected   -0.345 eV per atom
Magnetic moment   0.58 Bohr magnetons per cell
Crystal system   tetragonal
SG   P4/mmm, No. 123
Density   2.5 g/cm³
Density of states at the Fermi level   3.65 states/eV/cell

abc: 3.6156 8.2582 3.6156
angles: 90.00 90.00 90.00
Closest atoms and distances in Å follow each position.
Positions (direct):
F1 0.0000 0.0000 0.5000  2 Zn 1.81
F2 0.5000 0.0000 0.0000  2 Zn 1.81
Zn1 0.0000 0.0000 0.0000  4 F 1.81
B1 0.5000 0.5000 0.5000  4 Ti 2.56
Ti1 0.0000 0.5000 0.0000  4 B 2.56

=====

3.
This record from the Alexandria database describes an optimized crystal structure of Tl2BF4. The functional is GGA-PBE.

Results
Energy relative to the elements, uncorrected   -2.137 eV per atom
Magnetic moment   0.00 Bohr magnetons per cell
Crystal system   monoclinic
SG   C2/m, No. 12
Density   6.0 g/cm³
Density of states at the Fermi level   2.07 states/eV/cell
Polymorph energy (0 for the lowest one)   0.09 eV/f.u.

abc: 5.2106 8.8642 7.6379
angles: 124.11 90.00 107.09
Closest atoms and distances in Å follow each position.
Positions (direct):
F1 0.0261 0.6086 0.8864  1 B 1.43
F2 0.5825 0.6086 0.8864  1 B 1.43
F3 0.9739 0.3914 0.1136  1 B 1.43
F4 0.4175 0.3914 0.1136  1 B 1.43
F5 0.8763 0.7525 0.7499  1 B 1.41
F6 0.2923 0.5845 0.4364  1 B 1.41
F7 0.7077 0.4155 0.5636  1 B 1.41
F8 0.1237 0.2475 0.2501  1 B 1.41
Tl1 0.1197 0.2393 0.6452  7 F 2.92-3.24
Tl2 0.4944 0.9889 0.2044  5 F 2.99-3.29, 1 Tl 3.24
Tl3 0.5056 0.0111 0.7956  5 F 2.99-3.29, 1 Tl 3.24
Tl4 0.8803 0.7607 0.3548  7 F 2.92-3.24
B1 0.7984 0.5969 0.7694  4 F 1.41-1.43
B2 0.2016 0.4031 0.2306  4 F 1.41-1.43

=====

4.
This record from the Alexandria database describes an optimized crystal structure of TlBF2. The functional is GGA-PBE.

Results
Energy relative to the elements, uncorrected   -0.255 eV per atom
Magnetic moment   0.17 Bohr magnetons per cell
Crystal system   trigonal
SG   R-3m, No. 166
Density   6.4 g/cm³
Density of states at the Fermi level   1.62 states/eV/cell
Polymorph energy (0 for the lowest one)   2.47 eV/f.u.

abc: 7.5634 7.5634 7.5634
angles: 24.61 24.61 24.61
Closest atoms and distances in Å follow each position.
Positions (direct):
F1 0.1203 0.1203 0.1203  3 B 2.12
F2 0.8797 0.8797 0.8797  3 B 2.12
Tl1 0.0000 0.0000 0.0000  2 F 2.65
B1 0.5000 0.5000 0.5000  6 F 2.12

=====

5.
This record from the Alexandria database describes an optimized crystal structure of TlBF2. The functional is GGA-PBE.

Results
Energy relative to the elements, uncorrected   -0.481 eV per atom
Magnetic moment   0.58 Bohr magnetons per cell
Crystal system   tetragonal
SG   I4_1/amd, No. 141
Density   6.1 g/cm³
Density of states at the Fermi level   3.56 states/eV/cell
Polymorph energy (0 for the lowest one)   1.57 eV/f.u.

abc: 5.5440 5.5440 5.9591
angles: 62.28 62.28 90.00
Closest atoms and distances in Å follow each position.
Positions (direct):
F1 0.3750 0.6250 0.2500  2 B 1.78
F2 0.3750 0.1250 0.2500  2 B 1.78
F3 0.3750 0.6250 0.7500  2 B 1.78
F4 0.8750 0.6250 0.7500  2 B 1.78
Tl1 0.7500 0.2500 0.5000  12 F 3.30-3.64, 4 B 3.57, 4 Tl 3.57
Tl2 0.0000 0.0000 0.0000  12 F 3.30-3.64, 4 B 3.57, 4 Tl 3.57
B1 0.2500 0.7500 0.5000  4 F 1.78
B2 0.5000 0.5000 0.0000  4 F 1.78

=====

6.
This record from the Alexandria database describes an optimized crystal structure of Tl2BF4. The functional is GGA-PBE.

Results
Energy relative to the elements, uncorrected   -2.150 eV per atom
Magnetic moment   0.00 Bohr magnetons per cell
Crystal system   tetragonal
SG   I-42m, No. 121
Density   5.7 g/cm³
Density of states at the Fermi level   1.84 states/eV/cell
Polymorph energy (0 for the lowest one)   0.00 eV/f.u.

abc: 4.7276 4.7296 7.2507
angles: 109.01 109.03 90.01
Closest atoms and distances in Å follow each position.
Positions (direct):
F1 0.1096 0.1097 0.8726  1 B 1.42
F2 0.7629 0.7631 0.8721  1 B 1.42
F3 0.2369 0.8902 0.1275  1 B 1.42
F4 0.8906 0.2366 0.1277  1 B 1.42
B1 0.0000 0.9999 0.0000  4 F 1.42
Tl1 0.7499 0.2502 0.5001  4 F 2.97
Tl2 0.2499 0.7502 0.5000  4 F 2.96-2.97

=====

7.
This record from the Alexandria database describes an optimized crystal structure of TlBF2. The functional is GGA-PBE.

Results
Energy relative to the elements, uncorrected   -0.224 eV per atom
Magnetic moment   0.00 Bohr magnetons per cell
Crystal system   cubic
SG   Fm-3m, No. 225
Density   6.8 g/cm³
Density of states at the Fermi level   0.00 states/eV/cell
Polymorph energy (0 for the lowest one)   2.59 eV/f.u.

abc: 4.4361 4.4361 4.4361
angles: 60.00 60.00 60.00
Closest atoms and distances in Å follow each position.
Positions (direct):
F1 0.2500 0.2500 0.2500  4 Tl 2.72, 4 B 2.72
F2 0.7500 0.7500 0.7500  4 Tl 2.72, 4 B 2.72
B1 0.0000 0.0000 0.0000  8 F 2.72
Tl1 0.5000 0.5000 0.5000  8 F 2.72

=====

8.
This record from the Alexandria database describes an optimized crystal structure of TlB2F8. The functional is GGA-PBE.

Results
Energy relative to the elements, uncorrected   -2.501 eV per atom
Magnetic moment   0.00 Bohr magnetons per cell
Crystal system   monoclinic
SG   C2/m, No. 12
Density   4.5 g/cm³
Density of states at the Fermi level   3.90 states/eV/cell

abc: 5.9977 5.5109 5.5109
angles: 55.66 71.12 71.12
Closest atoms and distances in Å follow each position.
Positions (direct):
F1 0.2344 0.9201 0.3633  1 B 1.43
F2 0.1883 0.3586 0.3586  1 B 1.42
F3 0.8117 0.6414 0.6414  1 B 1.42
F4 0.5562 0.1671 0.1671  1 B 1.41
F5 0.2344 0.3633 0.9201  1 B 1.43
F6 0.4438 0.8329 0.8329  1 B 1.41
F7 0.7656 0.0799 0.6367  1 B 1.43
F8 0.7656 0.6367 0.0799  1 B 1.43
B1 0.3055 0.2034 0.2034  4 F 1.41-1.43
B2 0.6945 0.7966 0.7966  4 F 1.41-1.43
Tl1 0.0000 0.0000 0.0000  6 F 2.56-2.57

=====

9.
This record from the Alexandria database describes an optimized crystal structure of Tl2B2F7. The functional is GGA-PBE.

Results
Energy relative to the elements, uncorrected   -2.365 eV per atom
Magnetic moment   0.15 Bohr magnetons per cell
Crystal system   monoclinic
SG   C2/m, No. 12
Density   4.4 g/cm³
Density of states at the Fermi level   2.45 states/eV/cell

abc: 5.9408 6.4199 6.4199
angles: 115.39 98.33 98.33
Closest atoms and distances in Å follow each position.
Positions (direct):
F1 0.2526 0.3289 0.3289  1 B 1.39
F2 0.9033 0.1550 0.3687  1 B 1.38
F3 0.0967 0.6313 0.8450  1 B 1.38
F4 0.0967 0.8450 0.6313  1 B 1.38
F5 0.7474 0.6711 0.6711  1 B 1.39
F6 0.9033 0.3687 0.1550  1 B 1.38
F7 0.0000 0.0000 0.0000  2 B 1.58
B1 0.0149 0.2337 0.2337  3 F 1.38-1.39
B2 0.9851 0.7663 0.7663  3 F 1.38-1.39
Tl1 0.5000 0.2624 0.7376  4 F 3.04-3.08
Tl2 0.5000 0.7376 0.2624  4 F 3.04-3.08

=====

10.
This record from the Alexandria database describes an optimized crystal structure of Tl2BF5. The functional is GGA-PBE.

Results
Energy relative to the elements, uncorrected   -2.379 eV per atom
Magnetic moment   0.00 Bohr magnetons per cell
Crystal system   monoclinic
SG   Cm, No. 8
Density   5.0 g/cm³
Density of states at the Fermi level   0.00 states/eV/cell
Polymorph energy (0 for the lowest one)   0.00 eV/f.u.

abc: 6.1551 6.1562 5.9802
angles: 119.25 119.31 80.39
Closest atoms and distances in Å follow each position.
Positions (direct):
Tl1 0.7425 0.2479 0.5294  1 F 2.37
Tl2 0.2478 0.7421 0.5295  1 F 2.37
F1 0.1688 0.1683 0.7055  2 Tl 2.37
F2 0.1830 0.8886 0.0708  1 B 1.41
F3 0.8090 0.8096 0.6496  1 B 1.44
F4 0.8094 0.8100 0.0368  1 B 1.44
F5 0.8893 0.1832 0.0711  1 B 1.41
B1 0.9272 0.9274 0.9614  4 F 1.41-1.44

=====

11.
This record from the Alexandria database describes an optimized crystal structure of TlBF2. The functional is GGA-PBE.

Results
Energy relative to the elements, uncorrected   -0.872 eV per atom
Magnetic moment   0.00 Bohr magnetons per cell
Crystal system   trigonal
SG   R-3m, No. 166
Density   5.1 g/cm³
Density of states at the Fermi level   1.58 states/eV/cell
Polymorph energy (0 for the lowest one)   0.00 eV/f.u.

abc: 9.4308 9.4308 9.4308
angles: 19.52 19.52 19.52
Closest atoms and distances in Å follow each position.
Positions (direct):
F1 0.9520 0.9520 0.9520  1 B 1.33
F2 0.0480 0.0480 0.0480  1 B 1.33
B1 0.0000 0.0000 0.0000  2 F 1.33
Tl1 0.5000 0.5000 0.5000  6 Tl 3.20

=====

12.
This record from the Alexandria database describes an optimized crystal structure of TlBF3. The functional is GGA-PBE.

Results
Energy relative to the elements, uncorrected   -1.022 eV per atom
Magnetic moment   0.00 Bohr magnetons per cell
Crystal system   cubic
SG   Pm-3m, No. 221
Density   7.1 g/cm³
Density of states at the Fermi level   0.89 states/eV/cell
Polymorph energy (0 for the lowest one)   5.28 eV/f.u.

abc: 3.9992 3.9992 3.9992
angles: 90.00 90.00 90.00
Closest atoms and distances in Å follow each position.
Positions (direct):
F1 0.0000 0.0000 0.5000  2 B 2.00
F2 0.5000 0.0000 0.0000  2 B 2.00
F3 0.0000 0.5000 0.0000  2 B 2.00
B1 0.0000 0.0000 0.0000  6 F 2.00
Tl1 0.5000 0.5000 0.5000  12 F 2.83

=====

13.
This record from the Alexandria database describes an optimized crystal structure of TlBF3. The functional is GGA-PBE.

Results
Energy relative to the elements, uncorrected   -0.434 eV per atom
Magnetic moment   0.00 Bohr magnetons per cell
Crystal system   cubic
SG   Pm-3m, No. 221
Density   4.8 g/cm³
Density of states at the Fermi level   1.72 states/eV/cell
Polymorph energy (0 for the lowest one)   8.22 eV/f.u.

abc: 4.5499 4.5499 4.5499
angles: 90.00 90.00 90.00
Closest atoms and distances in Å follow each position.
Positions (direct):
F1 0.5000 0.0000 0.0000  2 Tl 2.27
F2 0.0000 0.0000 0.5000  2 Tl 2.27
F3 0.0000 0.5000 0.0000  2 Tl 2.27
Tl1 0.0000 0.0000 0.0000  6 F 2.27
B1 0.5000 0.5000 0.5000  12 F 3.22

=====

14.
This record from the Alexandria database describes an optimized crystal structure of TlBF3. The functional is GGA-PBE.

Results
Energy relative to the elements, uncorrected   -2.078 eV per atom
Magnetic moment   0.00 Bohr magnetons per cell
Crystal system   triclinic
SG   P1, No. 1
Density   4.5 g/cm³
Density of states at the Fermi level   0.76 states/eV/cell
Polymorph energy (0 for the lowest one)   0.00 eV/f.u.

abc: 3.9310 5.1047 10.0283
angles: 82.62 93.30 89.69
Closest atoms and distances in Å follow each position.
Positions (direct):
F1 0.9501 0.0939 0.9959  1 B 1.33
F2 0.5356 0.3450 0.8480  2 B 1.55-1.59
F3 0.9409 0.5620 0.9348  2 B 1.55-1.59
F4 0.5582 0.3515 0.0875  1 B 1.33
F5 0.5296 0.8129 0.7849  1 B 1.33
F6 0.9216 0.5514 0.6956  1 B 1.33
B1 0.7265 0.5979 0.7944  2 F 1.33
B2 0.7518 0.3079 0.9879  2 F 1.33
Tl1 0.5005 0.7047 0.3735  4 Tl 3.22-3.25, 2 F 3.54-3.60
Tl2 0.0085 0.1946 0.4086  4 Tl 3.22-3.25, 1 F 3.58

=====

15.
This record from the Alexandria database describes an optimized crystal structure of Tl3B2F8. The functional is GGA-PBE.

Results
Energy relative to the elements, uncorrected   -2.364 eV per atom
Magnetic moment   0.00 Bohr magnetons per cell
Crystal system   trigonal
SG   R-3m, No. 166
Density   5.3 g/cm³
Density of states at the Fermi level   2.31 states/eV/cell

abc: 5.6091 5.6091 9.5938
angles: 73.00 73.00 60.00
Closest atoms and distances in Å follow each position.
Positions (direct):
Tl1 0.1705 0.1705 0.4886  3 F 3.03, 3 Tl 3.24
Tl2 0.8295 0.8295 0.5114  3 F 3.03, 3 Tl 3.24
Tl3 0.0000 0.0000 0.0000  12 F 2.95-3.26
F1 0.2786 0.6925 0.7503  1 B 1.42
F2 0.7214 0.7214 0.2497  1 B 1.42
F3 0.7214 0.3075 0.2497  1 B 1.42
F4 0.3075 0.7214 0.2497  1 B 1.42
F5 0.6532 0.6532 0.0403  1 B 1.41
F6 0.3468 0.3468 0.9597  1 B 1.41
F7 0.6925 0.2786 0.7503  1 B 1.42
F8 0.2786 0.2786 0.7503  1 B 1.42
B1 0.6012 0.6012 0.1965  4 F 1.41-1.42
B2 0.3988 0.3988 0.8035  4 F 1.41-1.42